# Pr2Tl3InS6 | Alexandria via LeMat-Bulk | PBE | optimized geometry
data_Pr2Tl3InS6
_chemical_formula_sum 'Pr4 Tl6 In2 S12'
_cell_length_a 7.148
_cell_length_b 12.342
_cell_length_c 7.888
_cell_angle_alpha 90.00
_cell_angle_beta 107.67
_cell_angle_gamma 90.00
_symmetry_space_group_name_H-M 'C 1 2/m 1'
_symmetry_Int_Tables_number 12
_symmetry_space_group_name_Hall '-C 2y'
loop_
_atom_site_label
_atom_site_type_symbol
_atom_site_fract_x
_atom_site_fract_y
_atom_site_fract_z
Pr1 Pr 0.000 0.166 0.000
Tl1 Tl 0.000 0.000 0.500
Tl2 Tl 0.000 0.330 0.500
In1 In 0.000 0.500 0.000
S1 S 0.224 0.343 0.199
S2 S 0.249 0.500 0.792
# ΔE_f (raw) (meV/atom): -1098

# Pr2ZnInS5 | Alexandria via LeMat-Bulk | PBE | optimized geometry
data_Pr2ZnInS5
_chemical_formula_sum 'Pr8 Zn4 In4 S20'
_cell_length_a 3.955
_cell_length_b 16.759
_cell_length_c 12.106
_cell_angle_alpha 90.00
_cell_angle_beta 90.00
_cell_angle_gamma 90.00
_symmetry_space_group_name_H-M 'C m c 21'
_symmetry_Int_Tables_number 36
_symmetry_space_group_name_Hall 'C 2c -2'
loop_
_atom_site_label
_atom_site_type_symbol
_atom_site_fract_x
_atom_site_fract_y
_atom_site_fract_z
Pr1 Pr 0.000 0.115 0.000
Pr2 Pr 0.000 0.130 0.650
Zn1 Zn 0.000 0.455 0.735
In1 In 0.000 0.185 0.345
S1 S 0.000 0.011 0.325
S2 S 0.000 0.291 0.003
S3 S 0.000 0.319 0.669
S4 S 0.000 0.343 0.326
S5 S 0.000 0.487 0.061
# DOS at the Fermi energy (states/eV/cell): 14.8
# ΔE_f (raw) (meV/atom): -1330

# Pr4InSb | Alexandria via LeMat-Bulk | PBE | optimized geometry
data_Pr4InSb
_chemical_formula_sum 'Pr8 In2 Sb2'
_cell_length_a 6.246
_cell_length_b 9.121
_cell_length_c 8.117
_cell_angle_alpha 90.00
_cell_angle_beta 103.81
_cell_angle_gamma 90.00
_symmetry_space_group_name_H-M 'P 1 21/m 1'
_symmetry_Int_Tables_number 11
_symmetry_space_group_name_Hall '-P 2yb'
loop_
_atom_site_label
_atom_site_type_symbol
_atom_site_fract_x
_atom_site_fract_y
_atom_site_fract_z
Pr1 Pr 0.002 0.058 0.248
Pr2 Pr 0.393 0.750 0.501
Pr3 Pr 0.433 0.250 0.990
In1 In 0.150 0.250 0.594
Sb1 Sb 0.102 0.750 0.094
# DOS at the Fermi energy (states/eV/cell): 16.0
# ΔE_f (raw) (meV/atom): -280

# Pr5InSb4 | Alexandria via LeMat-Bulk | PBE | optimized geometry
data_Pr5InSb4
_chemical_formula_sum 'Pr10 In2 Sb8'
_cell_length_a 10.205
_cell_length_b 10.205
_cell_length_c 6.431
_cell_angle_alpha 90.00
_cell_angle_beta 90.00
_cell_angle_gamma 90.00
_symmetry_space_group_name_H-M 'I 4/m'
_symmetry_Int_Tables_number 87
_symmetry_space_group_name_Hall '-I 4'
loop_
_atom_site_label
_atom_site_type_symbol
_atom_site_fract_x
_atom_site_fract_y
_atom_site_fract_z
Pr1 Pr 0.000 0.000 0.000
Pr2 Pr 0.104 0.309 0.500
In1 In 0.000 0.000 0.500
Sb1 Sb 0.101 0.299 0.000
# DOS at the Fermi energy (states/eV/cell): 10.7
# ΔE_f (raw) (meV/atom): -980

# PrInSb2 | Alexandria via LeMat-Bulk | PBE | optimized geometry
data_PrInSb2
_chemical_formula_sum 'Pr3 In3 Sb6'
_cell_length_a 4.6128
_cell_length_b 4.6128
_cell_length_c 21.2225
_cell_angle_alpha 90.00
_cell_angle_beta 90.00
_cell_angle_gamma 120.00
_symmetry_space_group_name_H-M 'R 3 m'
_symmetry_Int_Tables_number 160
_symmetry_space_group_name_Hall 'R 3 -2"'
loop_
_atom_site_label
_atom_site_type_symbol
_atom_site_fract_x
_atom_site_fract_y
_atom_site_fract_z
Pr1 Pr 0.0000 0.0000 0.0000
In1 In 0.0000 0.0000 0.1698
Sb1 Sb 0.0000 0.0000 0.4148
Sb2 Sb 0.0000 0.0000 0.5800
# DOS at the Fermi energy (states/eV/cell): 8.5
# Excess energy over the best structure of this formula in the dataset (meV/atom): 190
# ΔE_f (raw) (meV/atom): -370

# PrInSb2 | Alexandria via LeMat-Bulk | PBE | optimized geometry
data_PrInSb2
_chemical_formula_sum 'Pr1 In1 Sb2'
_cell_length_a 5.017
_cell_length_b 5.017
_cell_length_c 4.435
_cell_angle_alpha 90.00
_cell_angle_beta 90.00
_cell_angle_gamma 90.00
_symmetry_space_group_name_H-M 'P 4/m m m'
_symmetry_Int_Tables_number 123
_symmetry_space_group_name_Hall '-P 4 2'
loop_
_atom_site_label
_atom_site_type_symbol
_atom_site_fract_x
_atom_site_fract_y
_atom_site_fract_z
Pr1 Pr 0.000 0.000 0.000
In1 In 0.500 0.500 0.000
Sb1 Sb 0.000 0.500 0.500
# DOS at the Fermi energy (states/eV/cell): 1.9
# Excess energy over the best structure of this formula in the dataset (meV/atom): 28
# ΔE_f (raw) (meV/atom): -531